Computed, not measured: Ce2PaBi after structural relaxation at the PBE level of DFT.

ΔH_f (0 K) (eV per atom): -0.236
Uncorrected energy (eV per atom): -6.55
Magnetization (μB per formula unit): 2.0

Cell: 4.624 4.830 4.830 Å, 90.00 90.00 90.00°
Site moments in Bohr magnetons follow the coordinates.
Element x y z (fractional)
Pa: 0.500 0.500 0.500  0.56
Bi: 0.500 0.000 0.000  -0.01
Ce: 0.000 0.000 0.500  0.53
Ce: 0.000 0.500 0.000  0.53

Computed, not measured: Pm3Sb2Te2 after structural relaxation at the PBE level of DFT.

Uncorrected formation energy (eV per atom): -1.06
Uncorrected energy (eV per atom): -5.17
Magnetization (μB per formula unit): 0.0

Cell: 4.448 7.878 8.911 Å, 119.05 104.45 90.00°
Element x y z (fractional)
Pm: 0.000 0.500 0.000
Pm: 0.269 0.762 0.537
Pm: 0.731 0.238 0.463
Sb: 0.636 0.773 0.271
Sb: 0.364 0.227 0.729
Te: 0.878 0.698 0.756
Te: 0.122 0.302 0.244

Computed, not measured: Ba2NaRu after structural relaxation at the PBE level of DFT.

ΔH_f (0 K) (eV per atom): 0.507
Uncorrected energy (eV per atom): -3.10
Magnetization (μB per formula unit): 0.0

Cell: 10.264 10.264 7.924 Å, 49.63 49.63 90.00°
Element x y z (fractional)
Ru: 0.000 0.000 0.000
Ru: 0.750 0.250 0.500
Ba: 0.769 0.125 0.250
Ba: 0.981 0.625 0.250
Ba: 0.375 0.231 0.750
Ba: 0.875 0.019 0.750
Na: 0.500 0.500 0.000
Na: 0.250 0.750 0.500

Computed, not measured: PtAu after structural relaxation at the PBE level of DFT.

ΔH_f (0 K) (eV per atom): 0.054
Uncorrected energy (eV per atom): -4.61
Magnetization (μB per formula unit): 0.0

Cell: 2.826 2.826 9.755 Å, 90.00 90.00 120.00°
Element x y z (fractional)
Au: 0.000 0.000 0.996
Au: 0.333 0.667 0.254
Pt: 0.000 0.000 0.504
Pt: 0.333 0.667 0.746